No. 1
K2RbSnAu: relaxed, GGA-PBE.

Geometry as POSCAR:
```
K2RbSnAu
1.0
-4.726 0.104 -4.315
-0.302 -6.391 0.177
-3.696 0.287 4.055
Rb Sn K Au
1 1 2 1
direct
0.500 0.500 0.500
0.000 0.000 0.500
0.500 0.000 0.000
0.000 0.500 0.000
0.000 0.000 0.000
```

Calculated formation energy in kJ/mol of formula units: -69
Magnetic moment in μB/atom: 0.000
VASP energy in eV per atom: -2.23
Distance to the lowest polymorph of the same formula in meV/atom: 0



No. 2
Li2PrCd7: relaxed, GGA-PBE.

Geometry as POSCAR:
```
Li2PrCd7
1.0
-1.886 3.260 -1.468
0.641 -2.483 -6.337
-8.578 -3.139 4.050
Li Cd Pr
2 7 1
direct
0.500 0.255 0.510
0.500 0.745 0.490
0.000 0.371 0.742
0.500 0.329 0.245
0.500 0.084 0.755
0.500 0.671 0.755
0.000 0.629 0.258
0.500 0.916 0.245
0.500 0.500 0.000
0.000 0.000 0.000
```

Calculated formation energy in kJ/mol of formula units: -49
Magnetic moment in μB/atom: 0.000
VASP energy in eV per atom: -1.55



No. 3
Pr2NbTl: relaxed, GGA-PBE.

Geometry as POSCAR:
```
Pr2NbTl
1.0
-2.438 -2.259 -0.037
0.195 -2.623 -2.033
4.777 -7.729 7.713
Pr Tl Nb
2 1 1
direct
0.084 0.084 0.748
0.916 0.916 0.252
0.500 0.500 0.500
0.000 0.000 0.000
```

Calculated formation energy in kJ/mol of formula units: 195
Magnetic moment in μB/atom: 0.000
VASP energy in eV per atom: -4.99



No. 4
Tb2DyRu: relaxed, GGA-PBE.

Geometry as POSCAR:
```
Tb2DyRu
1.0
6.331 0.000 0.000
0.000 7.308 0.000
0.000 0.000 9.242
Tb Ru Dy
8 4 4
direct
0.331 0.177 0.065
0.169 0.677 0.065
0.831 0.323 0.935
0.669 0.823 0.935
0.831 0.323 0.565
0.331 0.177 0.435
0.669 0.823 0.565
0.169 0.677 0.435
0.039 0.386 0.250
0.461 0.886 0.250
0.539 0.114 0.750
0.961 0.614 0.750
0.865 0.041 0.250
0.635 0.541 0.250
0.135 0.959 0.750
0.365 0.459 0.750
```

Calculated formation energy in kJ/mol of formula units: -120
Magnetic moment in μB/atom: 0.000
VASP energy in eV per atom: -6.10
Distance to the lowest polymorph of the same formula in meV/atom: 0



No. 5
Ti2SiSe: relaxed, GGA-PBE.

Geometry as POSCAR:
```
Ti2SiSe
1.0
5.721 0.000 0.000
0.000 5.721 0.000
2.861 2.861 5.768
Si Ti Se
2 4 2
direct
0.500 0.500 0.000
0.250 0.750 0.500
0.375 0.385 0.750
0.615 0.125 0.250
0.135 0.625 0.250
0.875 0.865 0.750
0.000 0.000 0.000
0.750 0.250 0.500
```

Magnetic moment in μB/atom: 0.000
VASP energy in eV per atom: -6.27
Formation energy from raw total energies in eV/f.u.: -0.4
Distance to the lowest polymorph of the same formula in meV/atom: 673



No. 6
Na2InCuF7: relaxed, GGA-PBE.

Geometry as POSCAR:
```
Na2InCuF7
1.0
-0.090 -5.459 4.944
7.609 0.965 1.204
-2.097 6.975 7.663
F Cu In Na
28 4 4 8
direct
0.952 0.157 0.862
0.048 0.843 0.138
0.952 0.343 0.362
0.504 0.265 0.624
0.496 0.735 0.376
0.750 0.511 0.141
0.548 0.157 0.862
0.996 0.265 0.624
0.496 0.765 0.876
0.504 0.235 0.124
0.452 0.657 0.638
0.004 0.765 0.876
0.548 0.343 0.362
0.004 0.735 0.376
0.750 0.989 0.641
0.250 0.011 0.359
0.452 0.843 0.138
0.250 0.489 0.859
0.750 0.994 0.063
0.750 0.041 0.340
0.250 0.959 0.660
0.250 0.541 0.160
0.750 0.506 0.563
0.750 0.459 0.840
0.996 0.235 0.124
0.048 0.657 0.638
0.250 0.006 0.937
0.250 0.494 0.437
0.000 0.000 0.000
0.500 0.000 0.000
0.000 0.500 0.500
0.500 0.500 0.500
0.250 0.762 0.273
0.750 0.262 0.227
0.750 0.238 0.727
0.250 0.738 0.773
0.500 0.000 0.500
0.250 0.219 0.762
0.750 0.781 0.238
0.750 0.719 0.738
0.000 0.500 0.000
0.250 0.281 0.262
0.500 0.500 0.000
0.000 0.000 0.500
```

Magnetic moment in μB/atom: 0.091
VASP energy in eV per atom: -4.41
Formation energy from raw total energies in eV/f.u.: -26.0



No. 7
CePrZnRu: relaxed, GGA-PBE.

Geometry as POSCAR:
```
CePrZnRu
1.0
-2.319 -1.063 4.362
-4.753 -1.715 -0.018
-0.958 -4.802 1.248
Ru Zn Pr Ce
1 1 1 1
direct
0.250 0.250 0.250
0.750 0.750 0.750
0.000 0.000 0.000
0.500 0.500 0.500
```

Calculated formation energy in kJ/mol of formula units: -76
Magnetic moment in μB/atom: 0.057
VASP energy in eV per atom: -5.51



No. 8
HfAl2Os: relaxed, GGA-PBE.

Geometry as POSCAR:
```
HfAl2Os
1.0
-0.475 0.790 3.733
3.005 -2.241 0.857
7.205 6.911 1.434
Al Hf Os
4 2 2
direct
0.117 0.625 0.250
0.633 0.125 0.250
0.375 0.367 0.750
0.875 0.883 0.750
0.500 0.500 0.000
0.250 0.750 0.500
0.750 0.250 0.500
0.000 0.000 0.000
```

Calculated formation energy in kJ/mol of formula units: 6
Magnetic moment in μB/atom: 0.000
VASP energy in eV per atom: -7.15
Distance to the lowest polymorph of the same formula in meV/atom: 404